Entry 1:
Here is a relaxed HfZn4Fe crystal from Alexandria. Energies are from PBE.

Lattice parameters (Å, degrees): 4.9609 4.9609 4.9609 60.00 60.00 60.00
Last column: nearest neighbours and their distance in Å.
Element x y z (fractional)
Hf  0.0000  0.0000  0.0000  12 Zn 2.91, 4 Fe 3.04
Zn  0.3756  0.3756  0.3756  6 Zn 2.47-2.49
Zn  0.3756  0.3756  0.8731  6 Zn 2.47-2.49
Zn  0.3756  0.8731  0.3756  6 Zn 2.47-2.49
Zn  0.8731  0.3756  0.3756  6 Zn 2.47-2.49
Fe  0.7500  0.7500  0.7500  12 Zn 2.91, 4 Hf 3.04

Output
- SG = F-43m
- ΔE_f (eV/atom) = -0.0679
- magnetization (μB/f.u.) = 0.03
- uncorrected energy (eV/cell) = -23.92

=====

Entry 2:
Here is a relaxed CuAs2Pb2 crystal from Alexandria. Energies are from PBE.

Lattice parameters (Å, degrees): 3.6732 3.6732 18.1318 90.00 90.00 90.00
Last column: nearest neighbours and their distance in Å.
Element x y z (fractional)
Cu  0.0000  0.0000  0.0000  8 Pb 3.09
Cu  0.5000  0.5000  0.5000  8 Pb 3.09
As  0.0000  0.5000  0.2500  4 As 2.60
As  0.0000  0.5000  0.7500  4 As 2.60
As  0.5000  0.0000  0.2500  4 As 2.60
As  0.5000  0.0000  0.7500  4 As 2.60
Pb  0.0000  0.0000  0.4072  4 Cu 3.09, 1 Pb 3.36, 4 As 3.39
Pb  0.0000  0.0000  0.5928  4 Cu 3.09, 1 Pb 3.36, 4 As 3.39
Pb  0.5000  0.5000  0.0928  4 Cu 3.09, 1 Pb 3.36, 4 As 3.39
Pb  0.5000  0.5000  0.9072  4 Cu 3.09, 1 Pb 3.36, 4 As 3.39

Output
- SG = I4/mmm
- N(E_F) (states/eV/f.u.) = 2.86
- ΔE_f (eV/atom) = 0.2674
- magnetization (μB/f.u.) = 0.00
- uncorrected energy (eV/cell) = -38.95

=====

Entry 3:
Here is a relaxed RbCa2SbCl8 crystal from Alexandria. Energies are from PBE.

Lattice parameters (Å, degrees): 6.4555 8.7597 6.6766 90.00 90.65 90.00
Last column: nearest neighbours and their distance in Å.
Element x y z (fractional)
Rb  0.0000  0.0000  0.0000  6 Cl 3.11-3.18
Ca  0.5000  0.2468  0.5000  6 Cl 2.72-2.94
Ca  0.5000  0.7532  0.5000  6 Cl 2.72-2.94
Sb  0.0000  0.5000  0.0000  6 Cl 2.66-2.77
Cl  0.2416  0.2892  0.1690  1 Sb 2.66, 1 Ca 2.78
Cl  0.2416  0.7108  0.1690  1 Sb 2.66, 1 Ca 2.78
Cl  0.2635  0.5000  0.6746  1 Sb 2.77, 2 Ca 2.94
Cl  0.2791  0.0000  0.6229  2 Ca 2.72
Cl  0.7209  0.0000  0.3771  2 Ca 2.72
Cl  0.7365  0.5000  0.3254  1 Sb 2.77, 2 Ca 2.94
Cl  0.7584  0.2892  0.8310  1 Sb 2.66, 1 Ca 2.78
Cl  0.7584  0.7108  0.8310  1 Sb 2.66, 1 Ca 2.78

Output
- SG = P2/m
- N(E_F) (states/eV/f.u.) = 0.00
- raw formation energy (meV per atom) = -1772
- magnetization (μB/f.u.) = 0.00
- uncorrected energy (eV/cell) = -45.13

=====

Entry 4:
Here is a relaxed ScIr3 crystal from Alexandria. Energies are from PBE.

Lattice parameters (Å, degrees): 5.0509 5.0509 5.0509 90.00 90.00 90.00
Last column: nearest neighbours and their distance in Å.
Element x y z (fractional)
Sc  0.0000  0.0000  0.0000  12 Ir 2.82
Sc  0.5000  0.5000  0.5000  12 Ir 2.82
Ir  0.0000  0.2500  0.5000  2 Ir 2.53, 4 Sc 2.82
Ir  0.0000  0.7500  0.5000  2 Ir 2.53, 4 Sc 2.82
Ir  0.2500  0.5000  0.0000  2 Ir 2.53, 4 Sc 2.82
Ir  0.5000  0.0000  0.2500  2 Ir 2.53, 4 Sc 2.82
Ir  0.5000  0.0000  0.7500  2 Ir 2.53, 4 Sc 2.82
Ir  0.7500  0.5000  0.0000  2 Ir 2.53, 4 Sc 2.82

Output
- SG = Pm-3n
- N(E_F) (states/eV/f.u.) = 5.11
- ΔE_f (eV/atom) = -0.0759
- magnetization (μB/f.u.) = 0.00
- uncorrected energy (eV/cell) = -66.44

=====

Entry 5:
Here is a relaxed Na2LaCuS crystal from Alexandria. Energies are from PBE.

Lattice parameters (Å, degrees): 4.8863 4.8863 5.7286 90.00 90.00 90.00
Last column: nearest neighbours and their distance in Å.
Element x y z (fractional)
Na  0.0000  0.5000  0.0000  2 Cu 2.44
Na  0.5000  0.0000  0.0000  2 Cu 2.44
La  0.0000  0.0000  0.5000  2 Cu 2.86
Cu  0.0000  0.0000  0.0000  4 Na 2.44
S  0.5000  0.5000  0.5000  4 La 3.46, 8 Na 3.76

Output
- SG = P4/mmm
- N(E_F) (states/eV/f.u.) = 4.78
- raw formation energy (meV per atom) = -75
- magnetization (μB/f.u.) = 0.00
- uncorrected energy (eV/cell) = -16.17

=====

Entry 6:
Here is a relaxed DyHo2Ag2 crystal from Alexandria. Energies are from PBE.

Lattice parameters (Å, degrees): 6.3399 5.0003 8.1319 90.00 95.87 90.00
Last column: nearest neighbours and their distance in Å.
Element x y z (fractional)
Dy  0.1861  0.2500  0.2473  6 Ag 2.95-3.17
Dy  0.8139  0.7500  0.7527  6 Ag 2.95-3.17
Ho  0.3400  0.7500  0.9468  3 Ag 3.04-3.06, 2 Ho 3.28
Ho  0.4006  0.2500  0.6429  4 Ag 3.02-3.23, 1 Dy 3.36
Ho  0.5994  0.7500  0.3571  4 Ag 3.02-3.23, 1 Dy 3.36
Ho  0.6600  0.2500  0.0532  3 Ag 3.04-3.06, 2 Ho 3.28
Ag  0.0711  0.2500  0.8861  3 Dy 2.95-3.12, 4 Ho 3.02-3.06, 3 Ag 3.12-3.29
Ag  0.1343  0.7500  0.4797  3 Ag 3.06-3.12, 3 Dy 3.16-3.17, 3 Ho 3.21-3.23
Ag  0.8657  0.2500  0.5203  3 Ag 3.06-3.12, 3 Dy 3.16-3.17, 3 Ho 3.21-3.23
Ag  0.9289  0.7500  0.1139  3 Dy 2.95-3.12, 4 Ho 3.02-3.06, 3 Ag 3.12-3.29

Output
- SG = P2_1/m
- N(E_F) (states/eV/f.u.) = 4.82
- ΔE_f (eV/atom) = -0.1606
- magnetization (μB/f.u.) = 0.00
- uncorrected energy (eV/cell) = -40.53